1.
# OsW2Se (PBE, relaxed)
data_OsW2Se
_chemical_formula_sum 'Os2 W4 Se2'
_cell_length_a 3.841
_cell_length_b 3.841
_cell_length_c 8.588
_cell_angle_alpha 90.00
_cell_angle_beta 90.00
_cell_angle_gamma 90.00
_space_group_name_H-M_alt 'P 1'
_space_group_IT_number 1
_space_group_name_Hall 'P 1'
loop_
_atom_site_label
_atom_site_fract_x
_atom_site_fract_y
_atom_site_fract_z
Os1 0.000 0.000 0.000
Os2 0.500 0.500 0.500
W1 0.000 0.000 0.500
W2 0.000 0.500 0.250
W3 0.500 0.000 0.750
W4 0.500 0.500 0.000
Se1 0.000 0.500 0.750
Se2 0.500 0.000 0.250
# - V: 126.7 Å³/cell
# - Raw formation energy: 798 meV/atom
# - Spin magnetization: 0.00 μB per formula unit
# - Space-group type: No. 119



2.
# Os2WSe (PBE, relaxed)
data_Os2WSe
_chemical_formula_sum 'Os2 W1 Se1'
_cell_length_a 4.620
_cell_length_b 4.620
_cell_length_c 2.929
_cell_angle_alpha 90.00
_cell_angle_beta 90.00
_cell_angle_gamma 90.00
_space_group_name_H-M_alt 'P 1'
_space_group_IT_number 1
_space_group_name_Hall 'P 1'
loop_
_atom_site_label
_atom_site_fract_x
_atom_site_fract_y
_atom_site_fract_z
Os1 0.000 0.500 0.000
Os2 0.500 0.000 0.000
W1 0.000 0.000 0.500
Se1 0.500 0.500 0.500
# - V: 62.5 Å³/cell
# - Raw formation energy: 776 meV/atom
# - Spin magnetization: 0.02 μB per formula unit
# - Space-group type: No. 123



3.
# OsW2Se (PBE, relaxed)
data_OsW2Se
_chemical_formula_sum 'Os2 W4 Se2'
_cell_length_a 2.974
_cell_length_b 4.523
_cell_length_c 9.227
_cell_angle_alpha 90.00
_cell_angle_beta 90.00
_cell_angle_gamma 90.00
_space_group_name_H-M_alt 'P 1'
_space_group_IT_number 1
_space_group_name_Hall 'P 1'
loop_
_atom_site_label
_atom_site_fract_x
_atom_site_fract_y
_atom_site_fract_z
Os1 0.000 0.000 0.000
Os2 0.500 0.500 0.500
W1 0.000 0.000 0.457
W2 0.000 0.500 0.246
W3 0.500 0.000 0.746
W4 0.500 0.500 0.957
Se1 0.000 0.500 0.732
Se2 0.500 0.000 0.232
# - V: 124.1 Å³/cell
# - Raw formation energy: 407 meV/atom
# - Spin magnetization: 0.00 μB per formula unit
# - Space-group type: No. 44



4.
# OsW2Se (PBE, relaxed)
data_OsW2Se
_chemical_formula_sum 'Os2 W4 Se2'
_cell_length_a 5.245
_cell_length_b 8.366
_cell_length_c 2.895
_cell_angle_alpha 90.00
_cell_angle_beta 90.00
_cell_angle_gamma 90.00
_space_group_name_H-M_alt 'P 1'
_space_group_IT_number 1
_space_group_name_Hall 'P 1'
loop_
_atom_site_label
_atom_site_fract_x
_atom_site_fract_y
_atom_site_fract_z
Os1 0.000 0.000 0.000
Os2 0.500 0.500 0.000
W1 0.250 0.250 0.500
W2 0.250 0.750 0.500
W3 0.750 0.250 0.500
W4 0.750 0.750 0.500
Se1 0.000 0.500 0.000
Se2 0.500 0.000 0.000
# - V: 127.0 Å³/cell
# - Raw formation energy: 656 meV/atom
# - Spin magnetization: 0.00 μB per formula unit
# - Space-group type: No. 65



5.
# OsWSe2 (PBE, relaxed)
data_OsWSe2
_chemical_formula_sum 'Os3 W3 Se6'
_cell_length_a 3.046
_cell_length_b 3.046
_cell_length_c 29.326
_cell_angle_alpha 90.00
_cell_angle_beta 90.00
_cell_angle_gamma 120.00
_space_group_name_H-M_alt 'P 1'
_space_group_IT_number 1
_space_group_name_Hall 'P 1'
loop_
_atom_site_label
_atom_site_fract_x
_atom_site_fract_y
_atom_site_fract_z
Os1 0.000 0.000 0.000
Os2 0.333 0.667 0.667
Os3 0.667 0.333 0.333
W1 0.000 0.000 0.258
W2 0.333 0.667 0.925
W3 0.667 0.333 0.591
Se1 0.000 0.000 0.529
Se2 0.000 0.000 0.728
Se3 0.333 0.667 0.196
Se4 0.333 0.667 0.394
Se5 0.667 0.333 0.061
Se6 0.667 0.333 0.862
# - V: 235.6 Å³/cell
# - Raw formation energy: 114 meV/atom
# - Spin magnetization: 0.00 μB per formula unit
# - ΔE to the lowest computed polymorph: 0.041 eV per formula unit
# - Space-group type: No. 160



6.
# OsWSe2 (PBE, relaxed)
data_OsWSe2
_chemical_formula_sum 'Os4 W4 Se8'
_cell_length_a 6.281
_cell_length_b 6.281
_cell_length_c 6.281
_cell_angle_alpha 90.00
_cell_angle_beta 90.00
_cell_angle_gamma 90.00
_space_group_name_H-M_alt 'P 1'
_space_group_IT_number 1
_space_group_name_Hall 'P 1'
loop_
_atom_site_label
_atom_site_fract_x
_atom_site_fract_y
_atom_site_fract_z
Os1 0.000 0.000 0.000
Os2 0.000 0.500 0.500
Os3 0.500 0.000 0.500
Os4 0.500 0.500 0.000
W1 0.000 0.000 0.500
W2 0.000 0.500 0.000
W3 0.500 0.000 0.000
W4 0.500 0.500 0.500
Se1 0.250 0.250 0.250
Se2 0.250 0.250 0.750
Se3 0.250 0.750 0.250
Se4 0.250 0.750 0.750
Se5 0.750 0.250 0.250
Se6 0.750 0.250 0.750
Se7 0.750 0.750 0.250
Se8 0.750 0.750 0.750
# - V: 247.8 Å³/cell
# - Raw formation energy: 633 meV/atom
# - Spin magnetization: 0.00 μB per formula unit
# - ΔE to the lowest computed polymorph: 2.114 eV per formula unit
# - Space-group type: No. 225



7.
# Os2WSe (PBE, relaxed)
data_Os2WSe
_chemical_formula_sum 'Os4 W2 Se2'
_cell_length_a 4.021
_cell_length_b 2.865
_cell_length_c 10.578
_cell_angle_alpha 90.00
_cell_angle_beta 90.00
_cell_angle_gamma 90.00
_space_group_name_H-M_alt 'P 1'
_space_group_IT_number 1
_space_group_name_Hall 'P 1'
loop_
_atom_site_label
_atom_site_fract_x
_atom_site_fract_y
_atom_site_fract_z
Os1 0.000 0.000 0.000
Os2 0.000 0.500 0.500
Os3 0.500 0.000 0.369
Os4 0.500 0.500 0.869
W1 0.000 0.000 0.745
W2 0.000 0.500 0.245
Se1 0.500 0.000 0.137
Se2 0.500 0.500 0.637
# - V: 121.9 Å³/cell
# - Raw formation energy: 482 meV/atom
# - Spin magnetization: 0.00 μB per formula unit
# - Space-group type: No. 38



8.
# OsWSe2 (PBE, relaxed)
data_OsWSe2
_chemical_formula_sum 'Os4 W4 Se8'
_cell_length_a 5.637
_cell_length_b 5.637
_cell_length_c 10.943
_cell_angle_alpha 90.00
_cell_angle_beta 90.00
_cell_angle_gamma 90.00
_space_group_name_H-M_alt 'P 1'
_space_group_IT_number 1
_space_group_name_Hall 'P 1'
loop_
_atom_site_label
_atom_site_fract_x
_atom_site_fract_y
_atom_site_fract_z
Os1 0.000 0.000 0.000
Os2 0.000 0.500 0.250
Os3 0.500 0.000 0.750
Os4 0.500 0.500 0.500
W1 0.000 0.000 0.500
W2 0.000 0.500 0.750
W3 0.500 0.000 0.250
W4 0.500 0.500 0.000
Se1 0.242 0.250 0.125
Se2 0.250 0.742 0.375
Se3 0.250 0.758 0.875
Se4 0.258 0.250 0.625
Se5 0.742 0.750 0.625
Se6 0.750 0.242 0.875
Se7 0.750 0.258 0.375
Se8 0.758 0.750 0.125
# - V: 347.7 Å³/cell
# - Raw formation energy: 779 meV/atom
# - Spin magnetization: 0.79 μB per formula unit
# - ΔE to the lowest computed polymorph: 2.701 eV per formula unit
# - Space-group type: No. 122



9.
# Os3WSe (PBE, relaxed)
data_Os3WSe
_chemical_formula_sum 'Os3 W1 Se1'
_cell_length_a 4.486
_cell_length_b 4.486
_cell_length_c 4.486
_cell_angle_alpha 90.00
_cell_angle_beta 90.00
_cell_angle_gamma 90.00
_space_group_name_H-M_alt 'P 1'
_space_group_IT_number 1
_space_group_name_Hall 'P 1'
loop_
_atom_site_label
_atom_site_fract_x
_atom_site_fract_y
_atom_site_fract_z
Os1 0.000 0.000 0.500
Os2 0.000 0.500 0.000
Os3 0.500 0.000 0.000
W1 0.500 0.500 0.500
Se1 0.000 0.000 0.000
# - V: 90.3 Å³/cell
# - Raw formation energy: 2075 meV/atom
# - Spin magnetization: 2.01 μB per formula unit
# - ΔE to the lowest computed polymorph: 0.000 eV per formula unit
# - Space-group type: No. 221



10.
# Os2WSe (PBE, relaxed)
data_Os2WSe
_chemical_formula_sum 'Os4 W2 Se2'
_cell_length_a 2.971
_cell_length_b 4.671
_cell_length_c 9.262
_cell_angle_alpha 90.00
_cell_angle_beta 90.00
_cell_angle_gamma 90.00
_space_group_name_H-M_alt 'P 1'
_space_group_IT_number 1
_space_group_name_Hall 'P 1'
loop_
_atom_site_label
_atom_site_fract_x
_atom_site_fract_y
_atom_site_fract_z
Os1 0.000 0.000 0.235
Os2 0.000 0.000 0.765
Os3 0.500 0.500 0.235
Os4 0.500 0.500 0.765
W1 0.000 0.500 0.000
W2 0.500 0.000 0.000
Se1 0.000 0.500 0.500
Se2 0.500 0.000 0.500
# - V: 128.5 Å³/cell
# - Raw formation energy: 699 meV/atom
# - Spin magnetization: 0.00 μB per formula unit
# - Space-group type: No. 65



11.
# OsW2Se (PBE, relaxed)
data_OsW2Se
_chemical_formula_sum 'Os2 W4 Se2'
_cell_length_a 9.454
_cell_length_b 3.003
_cell_length_c 4.534
_cell_angle_alpha 90.00
_cell_angle_beta 95.59
_cell_angle_gamma 90.00
_space_group_name_H-M_alt 'P 1'
_space_group_IT_number 1
_space_group_name_Hall 'P 1'
loop_
_atom_site_label
_atom_site_fract_x
_atom_site_fract_y
_atom_site_fract_z
Os1 0.000 0.000 0.000
Os2 0.500 0.500 0.000
W1 0.235 0.500 0.231
W2 0.265 0.000 0.769
W3 0.735 0.000 0.231
W4 0.765 0.500 0.769
Se1 0.000 0.500 0.500
Se2 0.500 0.000 0.500
# - V: 128.1 Å³/cell
# - Raw formation energy: 516 meV/atom
# - Spin magnetization: 0.00 μB per formula unit
# - Space-group type: No. 12



12.
# OsW2Se (PBE, relaxed)
data_OsW2Se
_chemical_formula_sum 'Os1 W2 Se1'
_cell_length_a 2.968
_cell_length_b 2.968
_cell_length_c 6.960
_cell_angle_alpha 90.00
_cell_angle_beta 90.00
_cell_angle_gamma 90.00
_space_group_name_H-M_alt 'P 1'
_space_group_IT_number 1
_space_group_name_Hall 'P 1'
loop_
_atom_site_label
_atom_site_fract_x
_atom_site_fract_y
_atom_site_fract_z
Os1 0.000 0.000 0.000
W1 0.500 0.500 0.255
W2 0.500 0.500 0.745
Se1 0.000 0.000 0.500
# - V: 61.3 Å³/cell
# - Raw formation energy: 175 meV/atom
# - Spin magnetization: 0.00 μB per formula unit
# - Space-group type: No. 123



13.
# Os2WSe (PBE, relaxed)
data_Os2WSe
_chemical_formula_sum 'Os4 W2 Se2'
_cell_length_a 2.919
_cell_length_b 4.501
_cell_length_c 9.119
_cell_angle_alpha 90.00
_cell_angle_beta 90.00
_cell_angle_gamma 90.00
_space_group_name_H-M_alt 'P 1'
_space_group_IT_number 1
_space_group_name_Hall 'P 1'
loop_
_atom_site_label
_atom_site_fract_x
_atom_site_fract_y
_atom_site_fract_z
Os1 0.000 0.000 0.228
Os2 0.000 0.000 0.772
Os3 0.500 0.500 0.272
Os4 0.500 0.500 0.728
W1 0.000 0.500 0.000
W2 0.500 0.000 0.500
Se1 0.000 0.500 0.500
Se2 0.500 0.000 0.000
# - V: 119.8 Å³/cell
# - Raw formation energy: 443 meV/atom
# - Spin magnetization: 0.00 μB per formula unit
# - Space-group type: No. 71



14.
# Os2WSe (PBE, relaxed)
data_Os2WSe
_chemical_formula_sum 'Os2 W1 Se1'
_cell_length_a 2.921
_cell_length_b 3.680
_cell_length_c 5.821
_cell_angle_alpha 90.00
_cell_angle_beta 90.00
_cell_angle_gamma 90.00
_space_group_name_H-M_alt 'P 1'
_space_group_IT_number 1
_space_group_name_Hall 'P 1'
loop_
_atom_site_label
_atom_site_fract_x
_atom_site_fract_y
_atom_site_fract_z
Os1 0.000 0.000 0.236
Os2 0.000 0.000 0.764
W1 0.500 0.500 0.000
Se1 0.500 0.500 0.500
# - V: 62.6 Å³/cell
# - Raw formation energy: 561 meV/atom
# - Spin magnetization: 0.00 μB per formula unit
# - Space-group type: No. 47



15.
# Os2WSe (PBE, relaxed)
data_Os2WSe
_chemical_formula_sum 'Os2 W1 Se1'
_cell_length_a 2.886
_cell_length_b 3.964
_cell_length_c 5.467
_cell_angle_alpha 90.00
_cell_angle_beta 90.00
_cell_angle_gamma 90.00
_space_group_name_H-M_alt 'P 1'
_space_group_IT_number 1
_space_group_name_Hall 'P 1'
loop_
_atom_site_label
_atom_site_fract_x
_atom_site_fract_y
_atom_site_fract_z
Os1 0.000 0.000 0.000
Os2 0.500 0.500 0.168
W1 0.500 0.500 0.677
Se1 0.000 0.000 0.489
# - V: 62.5 Å³/cell
# - Raw formation energy: 617 meV/atom
# - Spin magnetization: 0.00 μB per formula unit
# - Space-group type: No. 25